(1)
Crystalline MgBS at its relaxed geometry. Source: Alexandria via LeMat-Bulk, functional PBE.

Cell: 3.3364 4.0664 7.8880 Å, 80.17 78.06 65.86°
With the nearest neighbours (Å) after each atom.
Fractional positions:
Mg: 0.0000 0.0000 0.0000  6 S 2.54-2.73
Mg: 0.3754 0.6467 0.5914  4 B 2.42-2.49, 2 S 2.49
B: 0.4656 0.1713 0.4124  2 B 1.65-1.69
B: 0.9570 0.1746 0.4124  2 B 1.65-1.69
S: 0.2352 0.3414 0.1920  2 B 1.95
S: 0.7556 0.6538 0.8303  5 Mg 2.49-2.64

Calculated values
Crystal system ... triclinic
E ... -27.7 eV for the cell shown
Formation energy (no corrections) ... -0.48 eV/atom

***

(2)
Crystalline MgBS at its relaxed geometry. Source: Alexandria via LeMat-Bulk, functional PBE.

Cell: 4.0549 4.0549 7.8269 Å, 95.63 95.63 48.48°
With the nearest neighbours (Å) after each atom.
Fractional positions:
Mg: 0.0000 0.0000 0.0000  4 B 2.43-2.47, 2 S 2.50
Mg: 0.1312 0.1312 0.5916  6 S 2.55-2.67
B: 0.0276 0.5215 0.1761  2 B 1.64-1.69
B: 0.5215 0.0276 0.1761  2 B 1.64-1.69
S: 0.4605 0.4605 0.7611  5 Mg 2.50-2.64
S: 0.8101 0.8101 0.4017  2 B 1.95

Calculated values
Crystal system ... monoclinic
E ... -27.6 eV for the cell shown
Formation energy (no corrections) ... -0.47 eV/atom

***

(3)
Crystalline MgBS3 at its relaxed geometry. Source: Alexandria via LeMat-Bulk, functional PBE.

Cell: 4.7998 4.7998 4.7998 Å, 90.00 90.00 90.00°
With the nearest neighbours (Å) after each atom.
Fractional positions:
Mg: 0.0000 0.0000 0.0000  6 S 2.40
B: 0.5000 0.5000 0.5000  12 S 3.39
S: 0.0000 0.0000 0.5000  2 Mg 2.40
S: 0.0000 0.5000 0.0000  2 Mg 2.40
S: 0.5000 0.0000 0.0000  2 Mg 2.40

Calculated values
Crystal system ... cubic
E ... -14.8 eV for the cell shown
Formation energy (no corrections) ... 1.16 eV/atom

***

(4)
Crystalline Mg2BS at its relaxed geometry. Source: Alexandria via LeMat-Bulk, functional PBE.

Cell: 4.4265 4.4265 4.4265 Å, 60.00 60.00 60.00°
With the nearest neighbours (Å) after each atom.
Fractional positions:
Mg: 0.2500 0.2500 0.2500  4 S 2.71, 4 B 2.71
Mg: 0.7500 0.7500 0.7500  4 S 2.71, 4 B 2.71
B: 0.0000 0.0000 0.0000  8 Mg 2.71
S: 0.5000 0.5000 0.5000  8 Mg 2.71

Calculated values
Crystal system ... cubic
E ... -12.6 eV for the cell shown
Formation energy (no corrections) ... 0.36 eV/atom

***

In order of appearance, volume = 15.9; 16.0; 22.1; 15.3 A^3/atom.